MgNb2Fe2: optimized geometry, GGA-PBE.

Summary:
- formation energy from the elements (kJ per mole of atoms) = 5
- VASP energy (eV/atom) = -7.68

Cell lengths 7.209, 7.209, 2.971 Å; angles 90.00, 90.00, 90.00 degrees
Positions (direct):
Mg (0.000, 0.000, 0.000)
Mg (0.500, 0.500, 0.000)
Nb (0.158, 0.658, 0.500)
Nb (0.658, 0.842, 0.500)
Nb (0.842, 0.342, 0.500)
Nb (0.342, 0.158, 0.500)
Fe (0.363, 0.863, 0.000)
Fe (0.863, 0.637, 0.000)
Fe (0.637, 0.137, 0.000)
Fe (0.137, 0.363, 0.000)

MgNb2Fe: optimized geometry, GGA-PBE.

Summary:
- formation energy from the elements (kJ per mole of atoms) = 45
- VASP energy (eV/atom) = -7.08

Cell lengths 2.876, 2.876, 10.106 Å; angles 81.82, 81.82, 60.00 degrees
Positions (direct):
Mg (0.000, 0.000, 0.000)
Nb (0.097, 0.097, 0.709)
Nb (0.903, 0.903, 0.291)
Fe (0.500, 0.500, 0.500)

Mg2Nb2Fe: optimized geometry, GGA-PBE.

Summary:
- formation energy from the elements (kJ per mole of atoms) = 67
- VASP energy (eV/atom) = -5.66

Cell lengths 6.582, 6.582, 4.117 Å; angles 90.00, 90.00, 90.00 degrees
Positions (direct):
Mg (0.356, 0.856, 0.000)
Mg (0.856, 0.644, 0.000)
Mg (0.644, 0.144, 0.000)
Mg (0.144, 0.356, 0.000)
Nb (0.159, 0.659, 0.500)
Nb (0.659, 0.841, 0.500)
Nb (0.841, 0.341, 0.500)
Nb (0.341, 0.159, 0.500)
Fe (0.000, 0.000, 0.000)
Fe (0.500, 0.500, 0.000)

Question: What is the VASP energy in the third record?
Answer: -5.66 eV/atom